Entry 1:
16
Lattice="7.686 0.000 0.000 0.000 7.686 0.000 0.000 0.000 7.686" Properties=species:S:1:pos:R:3 comment="PBE TlIn2Hg, relaxed" ef_ev_per_atom=0.05 pbc="T T T"
Tl 0.000 0.000 0.000
Tl 0.000 3.843 3.843
Tl 3.843 0.000 3.843
Tl 3.843 3.843 0.000
In 0.000 0.000 3.843
In 0.000 3.843 0.000
In 1.922 1.922 1.922
In 1.922 5.765 5.765
In 3.843 0.000 0.000
In 3.843 3.843 3.843
In 5.765 1.922 5.765
In 5.765 5.765 1.922
Hg 1.922 1.922 5.765
Hg 1.922 5.765 1.922
Hg 5.765 1.922 1.922
Hg 5.765 5.765 5.765

=====

Entry 2:
6
Lattice="3.361 0.000 0.000 0.000 3.361 0.000 0.000 0.000 10.651" Properties=species:S:1:pos:R:3 comment="PBE BeCdAs, relaxed" ef_ev_per_atom=0.32 pbc="T T T"
Be 0.000 0.000 0.000
Be 1.681 1.681 5.325
Cd 0.000 0.000 2.509
Cd 1.681 1.681 7.835
As 0.000 0.000 5.254
As 1.681 1.681 10.579

=====

Entry 3:
10
Lattice="3.206 0.000 0.000 0.000 3.206 0.000 0.000 0.000 16.218" Properties=species:S:1:pos:R:3 comment="PBE Sc5BeRh4, relaxed" ef_ev_per_atom=-0.83 pbc="T T T"
Sc 0.000 0.000 0.000
Sc 0.000 0.000 3.279
Sc 0.000 0.000 6.555
Sc 0.000 0.000 9.663
Sc 0.000 0.000 12.939
Be 1.603 1.603 8.109
Rh 1.603 1.603 1.634
Rh 1.603 1.603 4.916
Rh 1.603 1.603 11.301
Rh 1.603 1.603 14.583

=====

Entry 4:
16
Lattice="6.827 0.000 0.000 0.000 6.827 0.000 0.000 0.000 6.827" Properties=species:S:1:pos:R:3 comment="PBE Tl2SiO, relaxed" e_form_raw_ev_per_atom=0.41 pbc="T T T"
Tl 1.707 1.707 1.707
Tl 1.707 1.707 5.120
Tl 1.707 5.120 1.707
Tl 1.707 5.120 5.120
Tl 5.120 1.707 1.707
Tl 5.120 1.707 5.120
Tl 5.120 5.120 1.707
Tl 5.120 5.120 5.120
Si 0.000 0.000 0.000
Si 0.000 3.413 3.413
Si 3.413 0.000 3.413
Si 3.413 3.413 0.000
O 0.000 0.000 3.413
O 0.000 3.413 0.000
O 3.413 0.000 0.000
O 3.413 3.413 3.413

=====

Entry 5:
10
Lattice="7.257 0.000 0.000 0.000 7.257 0.000 0.000 0.000 6.005" Properties=species:S:1:pos:R:3 comment="PBE Ca2Y2Ir, relaxed" ef_ev_per_atom=-0.11 pbc="T T T"
Ca 1.275 2.354 0.000
Ca 2.354 5.982 0.000
Ca 4.904 1.275 0.000
Ca 5.982 4.904 0.000
Y 1.201 4.829 3.003
Y 2.428 1.201 3.003
Y 4.829 6.057 3.003
Y 6.057 2.428 3.003
Ir 0.000 0.000 3.003
Ir 3.629 3.629 3.003

=====

Entry 6:
10
Lattice="9.678 -1.820 0.000 9.678 1.820 0.000 -1.610 0.000 8.311" Properties=species:S:1:pos:R:3 comment="PBE Tm4Pb, relaxed" ef_ev_per_atom=-0.16 pbc="T T T"
Tm 0.000 0.000 0.000
Tm -0.805 0.000 4.155
Tm 3.496 0.000 0.451
Tm 2.963 0.000 5.265
Tm 6.378 0.000 5.699
Tm 11.367 0.000 2.611
Tm 14.782 0.000 3.046
Tm 14.249 0.000 7.860
Pb 7.667 0.000 1.859
Pb 10.078 0.000 6.451

=====

no.,electronic total energy (eV per formula unit)
1,-7.9
2,-8.3
3,-73.1
4,-13.5
5,-26.4
6,-22.4